The following is a PBE-GGA calculation of SrCdSeO after structural relaxation, from OQMD via LeMat-Bulk.

Its raw total energy is -4.40 eV/atom.

Lattice parameters (Å, degrees): 6.329 4.150 14.602 90.00 90.00 90.00
Space group Pnma (No. 62)
Unique sites:
Sr1 0.247 0.250 0.095
Cd1 0.163 0.250 0.813
Se1 0.241 0.250 0.423
O1 0.194 0.750 0.179